Material: Pr2CrBiO6
Method: DFT, GGA+U
State: optimized geometry

Energy, eV per formula unit: -72.73

Cell lengths 5.538, 5.538, 5.275 Å; angles 90.00, 90.00, 90.00 degrees
Space group P4mm (No. 99)
One atom of each set of equivalent atoms:
Pr (0.000, 0.500, 0.000)
Cr (0.000, 0.000, 0.612)
Bi (0.500, 0.500, 0.557)
O (0.000, 0.000, 0.240)
O (0.238, 0.238, 0.739)
O (0.500, 0.500, 0.124)